Record 1
Be2Ge2Pt3: optimized geometry, GGA-PBE.

Space-group type = R3m, No. 160
Uncorrected energy = -5.325 eV/atom
V = 103.1 Å³ per cell
Magnetic moment = 0.03 μB per formula unit
Calculated density = 12.05 g cm⁻³

Cell: 7.291 7.291 7.291 Å, 33.14 33.14 33.14°
Positions (direct):
Ge: 0.010 0.010 0.010
Ge: 0.494 0.494 0.494
Be: 0.756 0.756 0.756
Be: 0.244 0.244 0.244
Pt: 0.621 0.621 0.621
Pt: 0.377 0.377 0.377
Pt: 0.873 0.873 0.873



Record 2
Gd4C2BrF: optimized geometry, GGA-PBE.

Space-group type = P-6m2, No. 187
Uncorrected energy = -6.296 eV/atom
V = 152.8 Å³ per cell
Magnetic moment = 0.01 μB per formula unit
Calculated density = 8.17 g cm⁻³

Cell: 3.630 3.630 13.391 Å, 90.00 90.00 120.00°
Positions (direct):
Gd: 0.000 0.000 0.633
Gd: 0.000 0.000 0.367
Gd: 0.333 0.667 0.829
Gd: 0.333 0.667 0.171
C: 0.667 0.333 0.729
C: 0.667 0.333 0.271
Br: 0.000 0.000 0.000
F: 0.333 0.667 0.500



Record 3
PrGaSiAu2: optimized geometry, GGA-PBE.

Space-group type = P4/nmm, No. 129
Uncorrected energy = -4.619 eV/atom
V = 201.8 Å³ per cell
Magnetic moment = 0.00 μB per formula unit
Calculated density = 10.41 g cm⁻³

Cell: 4.364 4.364 10.595 Å, 90.00 90.00 90.00°
Positions (direct):
Ga: 0.000 0.000 0.500
Ga: 0.500 0.500 0.500
Au: 0.500 0.500 0.000
Au: 0.000 0.500 0.361
Au: 0.000 0.000 0.000
Au: 0.500 0.000 0.639
Pr: 0.000 0.500 0.757
Pr: 0.500 0.000 0.243
Si: 0.000 0.500 0.131
Si: 0.500 0.000 0.869



Record 4
Lu8As2C3N3: optimized geometry, GGA-PBE.

Space-group type = P-3m1, No. 164
Uncorrected energy = -7.179 eV/atom
V = 256.2 Å³ per cell
Magnetic moment = 0.01 μB per formula unit
Calculated density = 10.55 g cm⁻³

Cell: 3.445 3.445 24.922 Å, 90.00 90.00 120.00°
Positions (direct):
Lu: 0.667 0.333 0.441
Lu: 0.667 0.333 0.053
Lu: 0.333 0.667 0.947
Lu: 0.000 0.000 0.160
Lu: 0.000 0.000 0.840
Lu: 0.000 0.000 0.668
Lu: 0.000 0.000 0.332
Lu: 0.333 0.667 0.559
N: 0.333 0.667 0.110
N: 0.667 0.333 0.890
N: 0.000 0.000 0.000
As: 0.667 0.333 0.243
As: 0.333 0.667 0.757
C: 0.000 0.000 0.500
C: 0.333 0.667 0.380
C: 0.667 0.333 0.620



Record 5
CuGeMo4N2: optimized geometry, GGA-PBE.

Space-group type = P-6m2, No. 187
Uncorrected energy = -8.498 eV/atom
V = 101.9 Å³ per cell
Magnetic moment = 0.01 μB per formula unit
Calculated density = 8.93 g cm⁻³

Cell: 2.888 2.888 14.100 Å, 90.00 90.00 120.00°
Positions (direct):
Mo: 0.333 0.667 0.345
Mo: 0.000 0.000 0.152
Mo: 0.333 0.667 0.655
Mo: 0.000 0.000 0.848
N: 0.667 0.333 0.248
N: 0.667 0.333 0.752
Cu: 0.000 0.000 0.500
Ge: 0.333 0.667 0.000



Record 6
Dy2Sb2O5: optimized geometry, GGA-PBE.

Space-group type = P4/mmm, No. 123
Uncorrected energy = -6.764 eV/atom
V = 137.9 Å³ per cell
Magnetic moment = 0.00 μB per formula unit
Calculated density = 7.81 g cm⁻³

Cell: 9.397 3.830 3.830 Å, 90.00 90.00 90.00°
Positions (direct):
O: 0.139 0.500 0.000
O: 0.139 0.000 0.500
O: 0.861 0.000 0.500
O: 0.861 0.500 0.000
O: 0.500 0.500 0.500
Sb: 0.000 0.000 0.000
Sb: 0.500 0.000 0.000
Dy: 0.744 0.500 0.500
Dy: 0.256 0.500 0.500